No. 1
The following is a DFT calculation (PBE-GGA) of a relaxed MgZnPt crystal.

Cell: 6.1115 6.1115 6.1115 Å, 90.00 90.00 90.00°
Last column: nearest neighbours and their distance in Å.
Space group F-43m (No. 216)
Asymmetric unit:
Mg (0.0000, 0.0000, 0.0000)  4 Pt 2.65
Zn (0.0000, 0.0000, 0.5000)  4 Pt 2.65
Pt (0.2500, 0.2500, 0.2500)  4 Mg 2.65, 4 Zn 2.65

***

No. 2
The following is a DFT calculation (PBE-GGA) of a relaxed Mg2Zn5Pt3 crystal.

Cell: 9.7212 12.4736 5.3505 Å, 90.00 98.75 90.00°
Last column: nearest neighbours and their distance in Å.
Space group C2/c (No. 15)
Asymmetric unit:
Mg (0.1191, 0.2395, 0.1049)  4 Pt 2.79-3.00, 7 Zn 2.87-3.09, 2 Mg 2.95-2.98
Zn (0.0000, 0.0224, 0.2500)  4 Pt 2.65-2.67, 4 Zn 2.73-2.74
Zn (0.1302, 0.3507, 0.6025)  4 Pt 2.52-2.69, 2 Zn 2.59-2.75
Zn (0.2375, 0.4642, 0.0282)  4 Pt 2.57-2.76, 5 Zn 2.59-2.82
Pt (0.0000, 0.4768, 0.2500)  8 Zn 2.63-2.76, 2 Pt 2.74
Pt (0.1343, 0.1483, 0.6050)  6 Zn 2.52-2.76, 1 Mg 2.79

***

No. 3
The following is a DFT calculation (PBE-GGA) of a relaxed Mg2ZnPt crystal.

Cell: 3.0182 4.3862 5.4031 Å, 90.00 105.39 90.00°
Last column: nearest neighbours and their distance in Å.
Space group Pm (No. 6)
Asymmetric unit:
Mg (0.0000, 0.0000, 0.0000)  3 Zn 2.81-2.83, 4 Pt 2.82-2.83, 2 Mg 3.02
Mg (0.3131, 0.5000, 0.6458)  3 Pt 2.78-2.86, 4 Zn 2.83-2.84, 2 Mg 3.02
Zn (0.7212, 0.0000, 0.4575)  2 Pt 2.63, 7 Mg 2.81-2.84
Pt (0.5876, 0.5000, 0.1802)  2 Zn 2.63, 7 Mg 2.78-2.86

***

No. 4
The following is a DFT calculation (PBE-GGA) of a relaxed MgZn3Pt crystal.

Cell: 4.9265 5.1798 6.4281 Å, 90.00 90.83 90.00°
Last column: nearest neighbours and their distance in Å.
Space group P2_1/m (No. 11)
Asymmetric unit:
Mg (0.1421, 0.2500, 0.2741)  3 Pt 2.76-2.88, 6 Zn 2.83-2.99
Zn (0.3500, 0.0095, 0.8240)  5 Zn 2.49-2.70, 2 Pt 2.63-2.67
Zn (0.3654, 0.7500, 0.4752)  1 Pt 2.52, 4 Zn 2.62-2.70
Pt (0.1236, 0.7500, 0.1278)  5 Zn 2.52-2.67, 2 Mg 2.76

- Distance to the lowest polymorph of the same formula: 0.000 eV per atom

***

No. 5
The following is a DFT calculation (PBE-GGA) of a relaxed MgZn2Pt crystal.

Cell: 3.0035 3.5450 5.8926 Å, 90.00 90.00 90.00°
Last column: nearest neighbours and their distance in Å.
Space group Pmm2 (No. 25)
Asymmetric unit:
Mg (0.0000, 0.0000, 0.0000)  4 Pt 2.74, 6 Zn 2.86-3.03, 2 Mg 3.00
Zn (0.0000, 0.0000, 0.4861)  6 Zn 2.69-3.00, 4 Pt 2.72, 1 Mg 2.86
Zn (0.5000, 0.5000, 0.7176)  6 Zn 2.69-3.00, 1 Pt 2.78, 4 Mg 2.86
Pt (0.5000, 0.5000, 0.2466)  5 Zn 2.72-2.78, 4 Mg 2.74, 2 Pt 3.00

***

No. 6
The following is a DFT calculation (PBE-GGA) of a relaxed Mg6ZnPt crystal.

Cell: 6.3063 10.7683 5.8444 Å, 90.00 117.07 90.00°
Last column: nearest neighbours and their distance in Å.
Space group C2/m (No. 12)
Asymmetric unit:
Mg (0.2395, 0.1993, 0.2492)  1 Pt 2.65, 1 Zn 2.69
Mg (0.2454, 0.0000, 0.7529)  1 Pt 2.55, 1 Zn 2.63
Zn (0.0000, 0.5000, 0.5000)  6 Mg 2.63-2.69
Pt (0.0000, 0.0000, 0.0000)  6 Mg 2.55-2.65

- Distance to the lowest polymorph of the same formula: 0.172 eV per atom

***

| no. | ΔH_f (0 K) (eV/atom) | density of states at the Fermi level (states/eV/atom) |
| --- | --- | --- |
| 1 | -0.522 | 0.67 |
| 2 | -0.478 | 0.36 |
| 3 | -0.503 | 0.42 |
| 4 | -0.354 | 0.27 |
| 5 | -0.404 | 0.24 |
| 6 | -0.098 | 0.25 |